## NpNi2AgO8 (PBE with a Hubbard U)

Data for a geometry-optimized NpNi2AgO8 structure.

Output
**Energy**: -73.875 eV for the cell shown
**Total magnetization**: 3.84 μB/cell

The structure in POSCAR format:
```
NpNi2AgO8
1.0
4.760 0.000 0.000
0.268 4.757 0.000
0.386 0.363 6.418
Np Ni Ag O
1 2 1 8
direct
0.000 0.000 0.000
0.488 0.488 0.254
0.512 0.512 0.746
0.000 0.000 0.500
0.192 0.191 0.244
0.215 0.213 0.795
0.308 0.691 0.000
0.312 0.687 0.500
0.688 0.313 0.500
0.692 0.309 0.000
0.785 0.787 0.205
0.808 0.809 0.756
```